Record 1
A relaxed Sn5S6 crystal. Source: Alexandria via LeMat-Bulk, functional PBE.

POSCAR file:
```
Sn5S6
1.0
6.9948 0.0000 -0.1038
3.4974 6.0042 -0.0519
2.3010 0.0000 6.5934
S Sn
6 5
Direct
0.5615 0.3463 0.2622
0.2708 0.0000 0.2352
0.0923 0.3463 0.7378
0.9077 0.6537 0.2622
0.4385 0.6537 0.7378
0.7292 0.0000 0.7648
0.8340 0.3320 0.5000
0.3371 0.3258 0.0000
0.1660 0.6680 0.5000
0.6629 0.6742 0.0000
0.5000 0.0000 0.5000
```

Results
Theoretical density in g/cm3: 4.69
E_form (uncorrected) in eV per atom: -0.38
V in Å³ per cell: 278


Record 2
A relaxed Sn4S crystal. Source: Alexandria via LeMat-Bulk, functional PBE.

POSCAR file:
```
Sn4S
1.0
-2.8119 -4.5494 0.2379
4.3395 -2.7599 -1.4875
1.3867 -0.5885 5.1373
Sn S
4 1
Direct
0.0000 0.5000 0.5000
0.5000 0.0000 0.5000
0.0000 0.0000 0.0000
0.5000 0.5000 0.0000
0.5000 0.5000 0.5000
```

Results
Theoretical density in g/cm3: 5.49
E_form (uncorrected) in eV per atom: 0.21
V in Å³ per cell: 153


Record 3
A relaxed SnS5 crystal. Source: Alexandria via LeMat-Bulk, functional PBE.

POSCAR file:
```
SnS5
1.0
-3.1017 2.8041 -0.6624
0.0904 -2.3589 3.2049
3.5336 7.0227 9.9292
S Sn
5 1
Direct
0.1721 0.2670 0.0259
0.5067 0.0827 0.7003
0.6399 0.2720 0.2924
0.7062 0.4317 0.4298
0.3993 0.8451 0.5837
0.4091 0.7680 0.1346
```

Results
Theoretical density in g/cm3: 2.80
E_form (uncorrected) in eV per atom: 0.05
V in Å³ per cell: 166


Record 4
A relaxed Sn3S crystal. Source: Alexandria via LeMat-Bulk, functional PBE.

POSCAR file:
```
Sn3S
1.0
4.2487 0.0000 0.0000
0.0000 4.3932 0.0000
0.0000 0.0000 5.9046
Sn S
3 1
Direct
0.5000 0.3725 0.5000
0.0000 0.8553 0.5000
0.5000 0.2407 0.0000
0.0000 0.8648 0.0000
```

Results
Theoretical density in g/cm3: 5.85
E_form (uncorrected) in eV per atom: -0.13
V in Å³ per cell: 110


Record 5
A relaxed SrSn2S3 crystal. Source: Alexandria via LeMat-Bulk, functional PBE.

POSCAR file:
```
SrSn2S3
1.0
6.0779 -0.0099 0.0000
-0.0067 8.4083 0.0000
0.0000 0.0000 12.5913
Sn S Sr
8 12 4
Direct
0.2741 0.3679 0.0818
0.7259 0.1321 0.5818
0.7293 0.6279 0.2501
0.7293 0.1279 0.2499
0.2707 0.8721 0.7501
0.2707 0.3721 0.7499
0.7259 0.6321 0.9182
0.2741 0.8679 0.4182
0.2935 0.1277 0.2458
0.2936 0.1242 0.5860
0.7454 0.8681 0.0812
0.7454 0.3681 0.4188
0.7065 0.8723 0.7542
0.7064 0.3758 0.0860
0.2935 0.6277 0.2542
0.2936 0.6242 0.9140
0.2546 0.1319 0.9188
0.2546 0.6319 0.5812
0.7064 0.8758 0.4140
0.7065 0.3723 0.7458
0.2490 0.3700 0.4154
0.7510 0.6300 0.5846
0.2490 0.8700 0.0846
0.7510 0.1300 0.9154
```

Results
Theoretical density in g/cm3: 4.35
E_form (uncorrected) in eV per atom: -0.99
V in Å³ per cell: 643


Record 6
A relaxed Sr3Sn2S7 crystal. Source: Alexandria via LeMat-Bulk, functional PBE.

POSCAR file:
```
Sr3Sn2S7
1.0
-2.7244 0.0674 -2.9751
-7.3691 -5.9928 6.6123
-4.8161 11.0646 4.6607
S Sr Sn
14 6 4
Direct
0.0000 0.0833 0.3249
0.0000 0.5833 0.1751
0.0000 0.0000 0.0000
0.0000 0.9167 0.6751
0.0000 0.5000 0.5000
0.5000 0.1485 0.7983
0.0000 0.2039 0.5694
0.0000 0.7961 0.4306
0.0000 0.4167 0.8249
0.5000 0.6485 0.7017
0.5000 0.8515 0.2017
0.0000 0.2961 0.0694
0.5000 0.3515 0.2983
0.0000 0.7039 0.9306
0.5000 0.5000 0.0000
0.5000 0.3853 0.6519
0.5000 0.1147 0.1519
0.5000 0.8853 0.8481
0.5000 0.0000 0.5000
0.5000 0.6147 0.3481
0.0000 0.2168 0.8964
0.0000 0.7168 0.6036
0.0000 0.2832 0.3964
0.0000 0.7832 0.1036
```

Results
Theoretical density in g/cm3: 3.98
E_form (uncorrected) in eV per atom: -1.26
V in Å³ per cell: 604


Record 7
A relaxed SrSn3S4 crystal. Source: Alexandria via LeMat-Bulk, functional PBE.

POSCAR file:
```
SrSn3S4
1.0
-1.5037 1.9248 -3.3801
-0.3078 -6.6540 -3.6500
-6.3392 -3.0413 1.0862
S Sn Sr
4 3 1
Direct
0.5000 0.7146 0.2649
0.9999 0.2787 0.2594
0.0000 0.7839 0.7567
0.5000 0.2081 0.7708
0.9999 0.5044 0.4725
0.9999 0.9913 0.9938
0.4999 0.0164 0.5018
0.5000 0.5035 0.9799
```

Results
Theoretical density in g/cm3: 4.48
E_form (uncorrected) in eV per atom: -0.83
V in Å³ per cell: 212


Record 8
A relaxed SrSnS3 crystal. Source: Alexandria via LeMat-Bulk, functional PBE.

POSCAR file:
```
SrSnS3
1.0
3.9200 0.0000 0.0000
0.0000 8.3231 0.0000
0.0000 0.0000 14.3139
S Sn Sr
12 4 4
Direct
0.7500 0.8512 0.0037
0.2500 0.7979 0.7840
0.7500 0.9728 0.6045
0.7500 0.7021 0.2840
0.7500 0.4728 0.8955
0.2500 0.0272 0.3955
0.7500 0.3512 0.4963
0.2500 0.1488 0.9963
0.2500 0.6488 0.5037
0.2500 0.5272 0.1045
0.7500 0.2021 0.2160
0.2500 0.2979 0.7160
0.2500 0.6735 0.9415
0.7500 0.3265 0.0585
0.2500 0.1735 0.5585
0.7500 0.8265 0.4415
0.2500 0.9234 0.1775
0.7500 0.5766 0.6775
0.2500 0.4234 0.3225
0.7500 0.0766 0.8225
```

Results
Theoretical density in g/cm3: 4.30
E_form (uncorrected) in eV per atom: -1.09
V in Å³ per cell: 467


Record 9
A relaxed SrSnS3 crystal. Source: Alexandria via LeMat-Bulk, functional PBE.

POSCAR file:
```
SrSnS3
1.0
-5.3090 1.0269 0.6774
-0.9060 -1.2336 -5.2303
-0.8323 -5.2080 1.3725
S Sr Sn
3 1 1
Direct
0.0000 0.5000 0.0000
0.0000 0.0000 0.5000
0.5000 0.0000 0.0000
0.0000 0.0000 0.0000
0.5000 0.5000 0.5000
```

Results
Theoretical density in g/cm3: 3.10
E_form (uncorrected) in eV per atom: 0.09
V in Å³ per cell: 162


Record 10
A relaxed SrSnS2 crystal. Source: Alexandria via LeMat-Bulk, functional PBE.

POSCAR file:
```
SrSnS2
1.0
2.5514 0.0000 8.1504
-1.2757 2.2096 8.1504
-1.2757 -2.2096 8.1504
S Sr Sn
2 1 1
Direct
0.8961 0.8961 0.8961
0.1039 0.1039 0.1039
0.5000 0.5000 0.5000
0.0000 0.0000 0.0000
```

Results
Theoretical density in g/cm3: 3.26
E_form (uncorrected) in eV per atom: -0.82
V in Å³ per cell: 138


Record 11
A relaxed Sr3SnS crystal. Source: Alexandria via LeMat-Bulk, functional PBE.

POSCAR file:
```
Sr3SnS
1.0
-3.4509 -1.3227 4.2908
-3.1428 -3.1535 -3.4996
3.2068 -4.5139 1.1876
Sn Sr S
1 3 1
Direct
0.5000 0.5000 0.5000
0.5000 0.0000 0.0000
0.0000 0.5000 0.0000
0.0000 0.0000 0.5000
0.0000 0.0000 0.0000
```

Results
Theoretical density in g/cm3: 3.78
E_form (uncorrected) in eV per atom: -1.08
V in Å³ per cell: 182


Record 12
A relaxed Sr4SnS5 crystal. Source: Alexandria via LeMat-Bulk, functional PBE.

POSCAR file:
```
Sr4SnS5
1.0
6.0544 0.0000 0.0000
3.0272 6.7479 0.0000
3.0272 0.0000 6.7479
Sr S Sn
4 5 1
Direct
0.6050 0.5989 0.1977
0.8027 0.8023 0.5989
0.2038 0.1977 0.4011
0.4016 0.4011 0.8023
0.9050 0.3998 0.8000
0.1048 0.6002 0.2000
0.7050 0.2000 0.3998
0.3048 0.8000 0.6002
0.4583 0.0000 0.0000
0.0193 0.0000 0.0000
```

Results
Theoretical density in g/cm3: 3.79
E_form (uncorrected) in eV per atom: -1.80
V in Å³ per cell: 276


Record 13
A relaxed Sr5SnS8 crystal. Source: Alexandria via LeMat-Bulk, functional PBE.

POSCAR file:
```
Sr5SnS8
1.0
7.7589 -0.1478 0.2540
-2.7644 7.2513 -0.2540
-2.2302 -3.7395 6.4288
S Sr Sn
8 5 1
Direct
0.0158 0.1569 0.7382
0.4779 0.5891 0.2508
0.2618 0.2776 0.4188
0.1412 0.7224 0.9842
0.6617 0.4109 0.8888
0.7492 0.2271 0.3383
0.5812 0.8431 0.8588
0.1112 0.7729 0.5221
0.3809 0.1326 0.9893
0.7517 0.6084 0.6191
0.5000 0.0000 0.5000
0.8567 0.8674 0.2483
0.0107 0.3916 0.1433
0.2500 0.5000 0.7500
```

Results
Theoretical density in g/cm3: 3.77
E_form (uncorrected) in eV per atom: -1.37
V in Å³ per cell: 358


Record 14
A relaxed SrSn2S3 crystal. Source: Alexandria via LeMat-Bulk, functional PBE.

POSCAR file:
```
SrSn2S3
1.0
3.9085 0.0000 0.0000
0.0000 7.7656 0.0000
0.0000 0.0000 10.3705
Sn Sr S
4 2 6
Direct
0.0000 0.0048 0.2642
0.5000 0.0460 0.5367
0.0000 0.5048 0.7358
0.5000 0.5460 0.4633
0.0000 0.9704 0.8830
0.0000 0.4704 0.1170
0.5000 0.7043 0.2482
0.5000 0.2043 0.7518
0.0000 0.8373 0.6069
0.5000 0.1385 0.0950
0.0000 0.3373 0.3931
0.5000 0.6385 0.9050
```

Results
Theoretical density in g/cm3: 4.44
E_form (uncorrected) in eV per atom: -0.91
V in Å³ per cell: 315


Record 15
A relaxed SrSnS2 crystal. Source: Alexandria via LeMat-Bulk, functional PBE.

POSCAR file:
```
SrSnS2
1.0
-0.7879 3.4137 -2.2268
0.2475 -0.1208 -4.1420
-7.1317 -0.7427 -2.4846
S Sn Sr
2 1 1
Direct
0.2522 0.2522 0.2434
0.0813 0.0813 0.7561
0.6676 0.6676 0.9973
0.4990 0.4990 0.5031
```

Results
Theoretical density in g/cm3: 4.18
E_form (uncorrected) in eV per atom: -1.16
V in Å³ per cell: 107


Record 16
A relaxed SrSnS2 crystal. Source: Alexandria via LeMat-Bulk, functional PBE.

POSCAR file:
```
SrSnS2
1.0
4.3955 0.0000 0.0000
0.0000 6.0338 0.0000
0.0000 0.0000 17.8955
S Sn Sr
8 4 4
Direct
0.7500 0.6814 0.3270
0.2500 0.3186 0.6730
0.7500 0.2529 0.9426
0.7500 0.7529 0.5574
0.7500 0.1814 0.1730
0.2500 0.2471 0.4426
0.2500 0.8186 0.8270
0.2500 0.7471 0.0574
0.7500 0.7543 0.1656
0.7500 0.2543 0.3344
0.2500 0.7457 0.6656
0.2500 0.2457 0.8344
0.2500 0.2431 0.0653
0.2500 0.7431 0.4347
0.7500 0.7569 0.9347
0.7500 0.2569 0.5653
```

Results
Theoretical density in g/cm3: 3.78
E_form (uncorrected) in eV per atom: -1.20
V in Å³ per cell: 475


Record 17
A relaxed SrSnS3 crystal. Source: Alexandria via LeMat-Bulk, functional PBE.

POSCAR file:
```
SrSnS3
1.0
-0.2907 4.8834 1.1835
-4.9053 -0.5326 0.9931
1.0888 -1.0961 4.7901
S Sr Sn
3 1 1
Direct
0.0000 0.5000 0.0000
0.5000 0.0000 0.0000
0.0000 0.0000 0.5000
0.5000 0.5000 0.5000
0.0000 0.0000 0.0000
```

Results
Theoretical density in g/cm3: 3.94
E_form (uncorrected) in eV per atom: -0.80
V in Å³ per cell: 128


Record 18
A relaxed SrSnS2 crystal. Source: Alexandria via LeMat-Bulk, functional PBE.

POSCAR file:
```
SrSnS2
1.0
4.2415 -0.0011 0.0278
0.0369 4.2365 0.0299
-0.0689 -0.0702 6.0179
S Sr Sn
2 1 1
Direct
0.7207 0.2230 0.0044
0.2591 0.7587 0.4671
0.7568 0.2566 0.5013
0.2731 0.7715 0.0201
```

Results
Theoretical density in g/cm3: 4.15
E_form (uncorrected) in eV per atom: -1.30
V in Å³ per cell: 108


Record 19
A relaxed Sr3SnS4 crystal. Source: Alexandria via LeMat-Bulk, functional PBE.

POSCAR file:
```
Sr3SnS4
1.0
5.4936 0.0046 -2.4355
-1.0844 5.3856 -2.4354
-0.0177 -0.0217 7.3754
S Sr Sn
4 3 1
Direct
0.2485 0.2485 0.4971
0.7515 0.7515 0.5029
0.5000 0.0000 0.0000
0.0000 0.5000 0.0000
0.2500 0.7500 0.5000
0.5000 0.5000 0.0000
0.7500 0.2500 0.5000
0.0000 0.0000 0.0000
```

Results
Theoretical density in g/cm3: 3.89
E_form (uncorrected) in eV per atom: -1.72
V in Å³ per cell: 218


Record 20
A relaxed Sr2SnS4 crystal. Source: Alexandria via LeMat-Bulk, functional PBE.

POSCAR file:
```
Sr2SnS4
1.0
-2.7915 4.1619 -4.9618
1.6411 -4.7328 -4.8930
-6.0139 -4.9605 2.7811
S Sr Sn
8 4 2
Direct
0.0579 0.7500 0.3822
0.9415 0.2500 0.0996
0.4930 0.0067 0.2545
0.5070 0.9933 0.7455
0.0585 0.7500 0.9004
0.9421 0.2500 0.6178
0.5070 0.5067 0.7455
0.4930 0.4933 0.2545
0.7169 0.7500 0.0557
0.2831 0.2500 0.9443
0.7454 0.7500 0.5596
0.2546 0.2500 0.4404
0.7475 0.2500 0.8083
0.2525 0.7500 0.1917
```

Results
Theoretical density in g/cm3: 3.60
E_form (uncorrected) in eV per atom: -1.36
V in Å³ per cell: 390


Record 21
A relaxed Sr2SnS4 crystal. Source: Alexandria via LeMat-Bulk, functional PBE.

POSCAR file:
```
Sr2SnS4
1.0
6.4136 0.0033 0.0000
-2.2254 6.0152 0.0000
0.0000 0.0000 10.0918
Sr S Sn
4 8 2
Direct
0.5211 0.1453 0.2500
0.1453 0.5211 0.7500
0.7899 0.7899 0.0000
0.7899 0.7899 0.5000
0.3562 0.8961 0.5564
0.8961 0.3562 0.0564
0.4923 0.6188 0.2500
0.3562 0.8961 0.9436
0.8961 0.3562 0.4436
0.6188 0.4923 0.7500
0.9073 0.0483 0.7500
0.0483 0.9073 0.2500
0.0963 0.5448 0.2500
0.5448 0.0963 0.7500
```

Results
Theoretical density in g/cm3: 3.60
E_form (uncorrected) in eV per atom: -1.40
V in Å³ per cell: 389


Record 22
A relaxed SrSnS2 crystal. Source: Alexandria via LeMat-Bulk, functional PBE.

POSCAR file:
```
SrSnS2
1.0
-1.2807 6.2765 0.3295
-0.8973 0.1503 -6.3494
-7.8005 1.7958 -2.0950
S Sr Sn
4 2 2
Direct
0.3750 0.3628 0.7500
0.1128 0.6250 0.2500
0.6372 0.1250 0.2500
0.8750 0.8872 0.7500
0.2500 0.7500 0.5000
0.5000 0.5000 0.0000
0.7500 0.2500 0.5000
0.0000 0.0000 0.0000
```

Results
Theoretical density in g/cm3: 3.15
E_form (uncorrected) in eV per atom: -1.03
V in Å³ per cell: 285